Entry 1:
## LiSiBr2 (PBE-GGA)

Data for LiSiBr2 after structural relaxation.

Lattice parameters (Å, degrees): 3.6841 3.6841 24.9239 90.00 90.00 120.00
Closest atoms and distances in Å follow each position.
Fractional coordinates of all 12 atoms:
Li1 0.0000 0.0000 0.0000  6 Br 2.65
Li2 0.3333 0.6667 0.6667  6 Br 2.65
Li3 0.6667 0.3333 0.3333  6 Br 2.65
Si1 0.0000 0.0000 0.5000  2 Br 2.58
Si2 0.3333 0.6667 0.1667  2 Br 2.58
Si3 0.6667 0.3333 0.8333  2 Br 2.58
Br1 0.0000 0.0000 0.3965  1 Si 2.58, 3 Li 2.65
Br2 0.0000 0.0000 0.6035  1 Si 2.58, 3 Li 2.65
Br3 0.3333 0.6667 0.0631  1 Si 2.58, 3 Li 2.65
Br4 0.3333 0.6667 0.2702  1 Si 2.58, 3 Li 2.65
Br5 0.6667 0.3333 0.7298  1 Si 2.58, 3 Li 2.65
Br6 0.6667 0.3333 0.9369  1 Si 2.58, 3 Li 2.65

Summary:
**Density**: 3.31 g cm⁻³
**ΔE to the lowest computed polymorph**: 0.00 eV/f.u.
**Spin magnetization**: 0.0 μB per formula unit
**Crystal system**: trigonal
**Formation energy from raw total energies**: -0.457 eV per atom


Entry 2:
## LiSiBr2 (PBE-GGA)

Data for LiSiBr2 after structural relaxation.

Lattice parameters (Å, degrees): 3.6306 3.6306 9.4619 90.00 90.00 90.00
Closest atoms and distances in Å follow each position.
Fractional coordinates of all 4 atoms:
Li1 0.0000 0.0000 0.0000  4 Br 2.57
Si1 0.5000 0.5000 0.4859  4 Br 2.78
Br1 0.0000 0.0000 0.5978  4 Si 2.78
Br2 0.5000 0.5000 0.9985  4 Li 2.57

Summary:
**Density**: 2.59 g cm⁻³
**ΔE to the lowest computed polymorph**: 0.47 eV/f.u.
**Spin magnetization**: 0.0 μB per formula unit
**Crystal system**: tetragonal
**Formation energy from raw total energies**: -0.338 eV per atom


Entry 3:
## LiSi2Br (PBE-GGA)

Data for LiSi2Br after structural relaxation.

Lattice parameters (Å, degrees): 3.4934 3.4934 33.3374 90.00 90.00 90.00
Closest atoms and distances in Å follow each position.
Fractional coordinates of all 16 atoms:
Li1 0.0000 0.0000 0.0000  4 Br 2.47
Li2 0.0000 0.5000 0.2500  4 Br 2.47
Li3 0.5000 0.0000 0.7500  4 Br 2.47
Li4 0.5000 0.5000 0.5000  4 Br 2.47
Si1 0.2446 0.2500 0.1250  4 Si 2.44-2.50
Si2 0.2500 0.7446 0.3750  4 Si 2.44-2.50
Si3 0.2500 0.7554 0.8750  4 Si 2.44-2.50
Si4 0.2554 0.2500 0.6250  4 Si 2.44-2.50
Si5 0.7446 0.7500 0.6250  4 Si 2.44-2.50
Si6 0.7500 0.2446 0.8750  4 Si 2.44-2.50
Si7 0.7500 0.2554 0.3750  4 Si 2.44-2.50
Si8 0.7554 0.7500 0.1250  4 Si 2.44-2.50
Br1 0.0000 0.0000 0.5000  4 Li 2.47
Br2 0.0000 0.5000 0.7500  4 Li 2.47
Br3 0.5000 0.0000 0.2500  4 Li 2.47
Br4 0.5000 0.5000 0.0000  4 Li 2.47

Summary:
**Density**: 2.33 g cm⁻³
**ΔE to the lowest computed polymorph**: 0.69 eV/f.u.
**Spin magnetization**: 0.0 μB per formula unit
**Crystal system**: tetragonal
**Formation energy from raw total energies**: -0.215 eV per atom